Entry 1:
Here is crystalline LiAcGa2Pt2 at its relaxed geometry from the Alexandria database. Energies are from PBE-GGA.

Unit cell a=4.4349 b=4.4349 c=7.0661 alpha=90.00 beta=90.00 gamma=120.00
Closest atoms and distances in Å follow each position.
Positions (direct):
Li 0.0000 0.0000 0.0000  6 Ga 2.81, 6 Pt 2.95
Ac 0.0000 0.0000 0.5000  6 Pt 3.29, 6 Ga 3.49, 2 Li 3.53
Ga 0.3333 0.6667 0.8363  4 Pt 2.58-2.62, 3 Li 2.81
Ga 0.6667 0.3333 0.1637  4 Pt 2.58-2.62, 3 Li 2.81
Pt 0.3333 0.6667 0.2077  4 Ga 2.58-2.62
Pt 0.6667 0.3333 0.7923  4 Ga 2.58-2.62

Calculated values
Space-group type: No. 164
Crystal system: trigonal
E_form in eV per atom: -0.90
Total magnetization in μB per formula unit: 0.00

***

Entry 2:
Here is crystalline LiAcGa4Pt2 at its relaxed geometry from the Alexandria database. Energies are from PBE-GGA.

Unit cell a=9.5126 b=9.5126 c=9.5126 alpha=26.42 beta=26.42 gamma=26.42
Closest atoms and distances in Å follow each position.
Positions (direct):
Li 0.0000 0.0000 0.0000  8 Ga 2.59-2.69
Ac 0.5000 0.5000 0.5000  6 Ga 3.21
Ga 0.0940 0.0940 0.0940  1 Li 2.59, 3 Pt 2.65
Ga 0.3687 0.3687 0.3687  4 Pt 2.62-2.70, 3 Li 2.69
Ga 0.6313 0.6313 0.6313  4 Pt 2.62-2.70, 3 Li 2.69
Ga 0.9060 0.9060 0.9060  1 Li 2.59, 3 Pt 2.65
Pt 0.2705 0.2705 0.2705  7 Ga 2.62-2.70
Pt 0.7295 0.7295 0.7295  7 Ga 2.62-2.70

Calculated values
Space-group type: No. 166
Crystal system: trigonal
E_form in eV per atom: -0.72
Total magnetization in μB per formula unit: 0.00

***

Entry 3:
Here is crystalline LiAcGaPt at its relaxed geometry from the Alexandria database. Energies are from PBE-GGA.

Unit cell a=7.7970 b=4.4987 c=5.7805 alpha=90.00 beta=116.61 gamma=90.00
Closest atoms and distances in Å follow each position.
Positions (direct):
Li 0.0000 0.0000 0.0000  3 Ga 2.69, 3 Pt 2.75-2.76, 1 Ac 3.00
Li 0.5000 0.5000 0.0000  3 Ga 2.69, 3 Pt 2.75-2.76, 1 Ac 3.00
Ac 0.1932 0.0000 0.5810  1 Li 3.00, 4 Pt 3.08-3.33
Ac 0.6932 0.5000 0.5810  1 Li 3.00, 4 Pt 3.08-3.33
Ga 0.2114 0.5000 0.1340  3 Pt 2.61, 3 Li 2.69
Ga 0.7114 0.0000 0.1340  3 Pt 2.61, 3 Li 2.69
Pt 0.3927 0.0000 0.1775  3 Ga 2.61, 3 Li 2.75-2.76
Pt 0.8927 0.5000 0.1775  3 Ga 2.61, 3 Li 2.75-2.76

Calculated values
Space-group type: No. 8
Crystal system: monoclinic
E above lowest polymorph in eV per atom: 0.0000
E_form in eV per atom: -0.73
Total magnetization in μB per formula unit: 0.00

***

Entry 4:
Here is crystalline LiAcPuGa at its relaxed geometry from the Alexandria database. Energies are from PBE-GGA.

Unit cell a=7.5822 b=7.5822 c=7.5822 alpha=90.00 beta=90.00 gamma=90.00
Closest atoms and distances in Å follow each position.
Positions (direct):
Li 0.0000 0.0000 0.0000  4 Ac 3.28, 4 Pu 3.28
Li 0.0000 0.5000 0.5000  4 Ac 3.28, 4 Pu 3.28
Li 0.5000 0.0000 0.5000  4 Ac 3.28, 4 Pu 3.28
Li 0.5000 0.5000 0.0000  4 Ac 3.28, 4 Pu 3.28
Ac 0.2500 0.2500 0.7500  4 Li 3.28, 4 Ga 3.28
Ac 0.2500 0.7500 0.2500  4 Li 3.28, 4 Ga 3.28
Ac 0.7500 0.2500 0.2500  4 Li 3.28, 4 Ga 3.28
Ac 0.7500 0.7500 0.7500  4 Li 3.28, 4 Ga 3.28
Pu 0.2500 0.2500 0.2500  4 Li 3.28, 4 Ga 3.28
Pu 0.2500 0.7500 0.7500  4 Li 3.28, 4 Ga 3.28
Pu 0.7500 0.2500 0.7500  4 Li 3.28, 4 Ga 3.28
Pu 0.7500 0.7500 0.2500  4 Li 3.28, 4 Ga 3.28
Ga 0.0000 0.0000 0.5000  4 Ac 3.28, 4 Pu 3.28
Ga 0.0000 0.5000 0.0000  4 Ac 3.28, 4 Pu 3.28
Ga 0.5000 0.0000 0.0000  4 Ac 3.28, 4 Pu 3.28
Ga 0.5000 0.5000 0.5000  4 Ac 3.28, 4 Pu 3.28

Calculated values
Space-group type: No. 216
Crystal system: cubic
E_form in eV per atom: -0.03
Total magnetization in μB per formula unit: 6.52

***

Entry 5:
Here is crystalline LiAcGaRh at its relaxed geometry from the Alexandria database. Energies are from PBE-GGA.

Unit cell a=6.9233 b=6.9233 c=6.9233 alpha=90.00 beta=90.00 gamma=90.00
Closest atoms and distances in Å follow each position.
Positions (direct):
Li 0.0000 0.0000 0.0000  4 Ac 3.00, 4 Ga 3.00
Li 0.0000 0.5000 0.5000  4 Ac 3.00, 4 Ga 3.00
Li 0.5000 0.0000 0.5000  4 Ac 3.00, 4 Ga 3.00
Li 0.5000 0.5000 0.0000  4 Ac 3.00, 4 Ga 3.00
Ac 0.2500 0.2500 0.7500  4 Li 3.00, 4 Rh 3.00
Ac 0.2500 0.7500 0.2500  4 Li 3.00, 4 Rh 3.00
Ac 0.7500 0.2500 0.2500  4 Li 3.00, 4 Rh 3.00
Ac 0.7500 0.7500 0.7500  4 Li 3.00, 4 Rh 3.00
Ga 0.2500 0.2500 0.2500  4 Li 3.00, 4 Rh 3.00
Ga 0.2500 0.7500 0.7500  4 Li 3.00, 4 Rh 3.00
Ga 0.7500 0.2500 0.7500  4 Li 3.00, 4 Rh 3.00
Ga 0.7500 0.7500 0.2500  4 Li 3.00, 4 Rh 3.00
Rh 0.0000 0.0000 0.5000  4 Ac 3.00, 4 Ga 3.00
Rh 0.0000 0.5000 0.0000  4 Ac 3.00, 4 Ga 3.00
Rh 0.5000 0.0000 0.0000  4 Ac 3.00, 4 Ga 3.00
Rh 0.5000 0.5000 0.5000  4 Ac 3.00, 4 Ga 3.00

Calculated values
Space-group type: No. 216
Crystal system: cubic
E above lowest polymorph in eV per atom: 0.1943
E_form in eV per atom: -0.36
Total magnetization in μB per formula unit: 0.00

***

Entry 6:
Here is crystalline LiAcGa2Rh at its relaxed geometry from the Alexandria database. Energies are from PBE-GGA.

Unit cell a=4.1303 b=4.3822 c=11.3739 alpha=90.00 beta=90.00 gamma=90.00
Closest atoms and distances in Å follow each position.
Positions (direct):
Li 0.0000 0.0000 0.0000  2 Ga 2.62, 2 Rh 2.67
Li 0.5000 0.5000 0.5000  2 Ga 2.62, 2 Rh 2.67
Ac 0.0000 0.5000 0.2648  4 Rh 3.22, 6 Ga 3.32-3.49, 2 Li 3.38
Ac 0.5000 0.0000 0.7648  4 Rh 3.22, 6 Ga 3.32-3.49, 2 Li 3.38
Ga 0.0000 0.0000 0.5037  2 Rh 2.60, 2 Ga 2.69
Ga 0.0000 0.5000 0.6415  1 Rh 2.54, 2 Li 2.62, 2 Ga 2.69
Ga 0.5000 0.0000 0.1415  1 Rh 2.54, 2 Li 2.62, 2 Ga 2.69
Ga 0.5000 0.5000 0.0037  2 Rh 2.60, 2 Ga 2.69
Rh 0.0000 0.5000 0.8653  3 Ga 2.54-2.60, 2 Li 2.67
Rh 0.5000 0.0000 0.3653  3 Ga 2.54-2.60, 2 Li 2.67

Calculated values
Space-group type: No. 44
Crystal system: orthorhombic
E_form in eV per atom: -0.56
Total magnetization in μB per formula unit: 0.00